Run i
This record from Alexandria via LeMat-Bulk describes a geometry-optimized RbP2Au structure. The functional is PBE.

## Properties
- DOS(E_F) (states/eV per cell) = 2.622
- space-group type = Fm-3m (225)

Unit cell a=4.9531 b=4.9531 c=4.9531 alpha=60.00 beta=60.00 gamma=60.00
Atoms (fractional coordinates):
Rb 0.0000 0.0000 0.0000
P 0.2500 0.2500 0.2500
P 0.7500 0.7500 0.7500
Au 0.5000 0.5000 0.5000



Run ii
This record from Alexandria via LeMat-Bulk describes a geometry-optimized RbP2Au structure. The functional is PBE.

## Properties
- DOS(E_F) (states/eV per cell) = 2.887
- space-group type = I4_1/amd (141)

Unit cell a=9.5910 b=9.5910 c=9.5910 alpha=150.61 beta=150.61 gamma=42.05
Atoms (fractional coordinates):
Rb 0.3750 0.6250 0.7500
Rb 0.6250 0.3750 0.2500
P 0.0000 0.0000 0.0000
P 0.0000 0.0000 0.5000
P 0.0000 0.5000 0.0000
P 0.5000 0.0000 0.5000
Au 0.1250 0.8750 0.2500
Au 0.8750 0.1250 0.7500



Run iii
This record from Alexandria via LeMat-Bulk describes a geometry-optimized RbP2Au structure. The functional is PBE.

## Properties
- DOS(E_F) (states/eV per cell) = 0.591
- space-group type = P2_1/c (14)

Unit cell a=6.6586 b=5.4073 c=13.2836 alpha=90.00 beta=107.66 gamma=90.00
Atoms (fractional coordinates):
Rb 0.2280 0.1663 0.2203
Rb 0.2280 0.3337 0.7203
Rb 0.7720 0.6663 0.2797
Rb 0.7720 0.8337 0.7797
P 0.0929 0.0818 0.4475
P 0.0929 0.4182 0.9475
P 0.3906 0.5991 0.0389
P 0.3906 0.9009 0.5389
P 0.6094 0.0991 0.4611
P 0.6094 0.4009 0.9611
P 0.9071 0.5818 0.0525
P 0.9071 0.9182 0.5525
Au 0.2533 0.0076 0.9839
Au 0.2533 0.4924 0.4839
Au 0.7467 0.5076 0.5161
Au 0.7467 0.9924 0.0161



Calculated relative energies: run i 0.983; run ii 0.238; run iii 0.000, given in eV/atom